No. 1
# Li4Nd3ThTe8

A relaxed structure of Li4Nd3ThTe8 (PBE-GGA, Alexandria).

Lattice parameters (Å, degrees): 8.846 8.770 8.846 120.30 120.00 90.00
Atoms (fractional coordinates):
Te (0.747, 0.235, 0.493)
Te (0.245, 0.235, 0.490)
Te (0.758, 0.765, 0.011)
Li (0.000, 0.000, 0.500)
Th (0.000, 0.500, 0.000)
Te (0.253, 0.765, 0.507)
Nd (0.500, 0.500, 0.000)
Nd (0.500, 0.500, 0.500)
Te (0.747, 0.235, 0.989)
Te (0.242, 0.235, 0.989)
Te (0.253, 0.765, 0.011)
Li (0.000, 0.000, 0.000)
Te (0.755, 0.765, 0.510)
Nd (0.000, 0.500, 0.500)
Li (0.500, 0.000, 0.000)
Li (0.500, 0.000, 0.500)

## Properties
Space group = R-3m (166)
Raw total energy = -0.34212 Ry/atom
Size of the total moment = 0.0 μB per formula unit
ΔE_f (raw) = -1248 meV/atom



No. 2
# BePtSe

A relaxed structure of BePtSe (PBE-GGA, Alexandria).

Lattice parameters (Å, degrees): 5.285 7.471 4.711 90.00 90.00 90.00
Atoms (fractional coordinates):
Pt (0.665, 0.750, 0.870)
Pt (0.835, 0.250, 0.370)
Se (0.000, 0.500, 0.000)
Be (0.806, 0.750, 0.344)
Se (0.500, 0.000, 0.500)
Se (0.500, 0.500, 0.500)
Pt (0.165, 0.750, 0.630)
Pt (0.335, 0.250, 0.130)
Be (0.306, 0.750, 0.156)
Be (0.194, 0.250, 0.656)
Be (0.694, 0.250, 0.844)
Se (0.000, 0.000, 0.000)

## Properties
Space group = Pnma (62)
Raw total energy = -0.33246 Ry/atom
Size of the total moment = 0.0 μB per formula unit
ΔE_f (raw) = -106 meV/atom



- What is the raw total energy in the second record?
  -0.33246 Ry/atom



- Which of these has the highest ΔE_f (raw)?
  BePtSe



Please write out number 2 again, unchanged.
# BePtSe

A relaxed structure of BePtSe (PBE-GGA, Alexandria).

Lattice parameters (Å, degrees): 5.285 7.471 4.711 90.00 90.00 90.00
Atoms (fractional coordinates):
Pt (0.665, 0.750, 0.870)
Pt (0.835, 0.250, 0.370)
Se (0.000, 0.500, 0.000)
Be (0.806, 0.750, 0.344)
Se (0.500, 0.000, 0.500)
Se (0.500, 0.500, 0.500)
Pt (0.165, 0.750, 0.630)
Pt (0.335, 0.250, 0.130)
Be (0.306, 0.750, 0.156)
Be (0.194, 0.250, 0.656)
Be (0.694, 0.250, 0.844)
Se (0.000, 0.000, 0.000)

## Properties
Space group = Pnma (62)
Raw total energy = -0.33246 Ry/atom
Size of the total moment = 0.0 μB per formula unit
ΔE_f (raw) = -106 meV/atom